A plane-wave DFT calculation with GGA-PBE was carried out for a relaxed YHoTh3 crystal.

* N(E_F): 1.696 states/eV/atom
* energy above the lowest structure with this stoichiometry: 194 meV/atom

Lattice parameters (Å, degrees): 8.5022 8.5022 16.5783 90.00 90.00 120.00
Space group R-3 (No. 148, hexagonal axes)
Symmetry-distinct sites (fractional):
Y: 0.0000 0.0000 0.0890 (multiplicity 6)
Ho: 0.0000 0.0000 0.4063 (multiplicity 6)
Th: 0.0267 0.7719 0.2397 (multiplicity 18)